# Tb2SiRh

A geometry-optimized Tb2SiRh structure (PBE, Alexandria via LeMat-Bulk).

Properties
Calculated total energy, Ha/atom: -0.233
Energy relative to the elements, uncorrected, eV/atom: -0.84

POSCAR file:
```
Tb2SiRh
1.0
-0.045 4.046 0.120
-3.644 -0.099 1.974
4.333 -0.060 3.642
Tb Si Rh
2 1 1
Direct
0.000 0.982 0.964
0.500 0.264 0.527
0.500 0.555 0.109
0.000 0.699 0.397
```